The following is a PBE-GGA calculation of crystalline UPa2TiN6 at its relaxed geometry, from Alexandria.

Calculated values
The raw total energy comes out at -102.2 eV/f.u. Its total magnetization is 2.06 μB per cell. The space-group type is R3. As for the crystal system: trigonal.

```
UPa2TiN6
1.0
2.9017 1.6753 4.7231
-2.9017 1.6753 4.7231
0.0000 -3.3506 4.7231
U Pa Ti N
1 2 1 6
Direct
0.0000 0.0000 0.0000
0.2767 0.2767 0.2767
0.7734 0.7734 0.7734
0.4969 0.4969 0.4969
0.1257 0.6891 0.3756
0.2092 0.6220 0.8565
0.3756 0.1257 0.6891
0.6220 0.8565 0.2092
0.6891 0.3756 0.1257
0.8565 0.2092 0.6220
```